[1]
VASP calculation (PBE) on an optimized crystal structure of NaLa2P2.

E ... -5.28 eV/atom
ΔH_f (0 K) ... -878 meV per atom

abc: 8.2928 8.2928 3.7027
angles: 90.00 90.00 90.00
Last column: nearest neighbours and their distance in Å.
Fractional coordinates of all 10 atoms:
Na 0.0000 0.0000 0.0000  4 La 3.20
Na 0.5000 0.5000 0.0000  4 La 3.20
La 0.1397 0.3603 0.0000  6 P 2.97-3.12, 2 Na 3.20, 1 La 3.28
La 0.3603 0.8603 0.0000  6 P 2.97-3.12, 2 Na 3.20, 1 La 3.28
La 0.6397 0.1397 0.0000  6 P 2.97-3.12, 2 Na 3.20, 1 La 3.28
La 0.8603 0.6397 0.0000  6 P 2.97-3.12, 2 Na 3.20, 1 La 3.28
P 0.1622 0.6622 0.5000  6 La 2.97-3.12
P 0.3378 0.1622 0.5000  6 La 2.97-3.12
P 0.6622 0.8378 0.5000  6 La 2.97-3.12
P 0.8378 0.3378 0.5000  6 La 2.97-3.12



[2]
VASP calculation (PBE) on an optimized crystal structure of BeSbTe2.

Raw formation energy ... 0.308 eV/atom
E ... -3.22 eV/atom

abc: 7.7193 7.7193 7.7193
angles: 38.29 38.29 38.29
Last column: nearest neighbours and their distance in Å.
Fractional coordinates of all 4 atoms:
Be 0.0000 0.0000 0.0000  2 Te 2.25
Sb 0.5000 0.5000 0.5000  6 Te 3.21
Te 0.1051 0.1051 0.1051  1 Be 2.25
Te 0.8949 0.8949 0.8949  1 Be 2.25



[3]
VASP calculation (PBE) on an optimized crystal structure of In2ICl.

Raw formation energy ... -0.618 eV/atom
E ... -2.84 eV/atom

abc: 8.1715 8.1715 8.1715
angles: 33.93 33.93 33.93
Last column: nearest neighbours and their distance in Å.
Fractional coordinates of all 4 atoms:
In 0.2405 0.2405 0.2405  3 Cl 3.24, 3 I 3.49
In 0.7595 0.7595 0.7595  3 Cl 3.24, 3 I 3.49
I 0.0000 0.0000 0.0000  6 In 3.49
Cl 0.5000 0.5000 0.5000  6 In 3.24



[4]
VASP calculation (PBE) on an optimized crystal structure of EuTmTlPt.

E ... -6.40 eV/atom
ΔH_f (0 K) ... -608 meV per atom

abc: 5.1940 5.1940 5.1940
angles: 60.00 60.00 60.00
Last column: nearest neighbours and their distance in Å.
Fractional coordinates of all 4 atoms:
Eu 0.0000 0.0000 0.0000  4 Tl 3.18, 4 Pt 3.18
Tm 0.5000 0.5000 0.5000  4 Tl 3.18, 4 Pt 3.18
Tl 0.7500 0.7500 0.7500  4 Tm 3.18, 4 Eu 3.18
Pt 0.2500 0.2500 0.2500  4 Tm 3.18, 4 Eu 3.18



[5]
VASP calculation (PBE) on an optimized crystal structure of KTlCu2Cl5.

Raw formation energy ... -0.928 eV/atom
E ... -3.25 eV/atom

abc: 4.7223 4.7223 10.3137
angles: 90.00 90.00 90.00
Last column: nearest neighbours and their distance in Å.
Fractional coordinates of all 9 atoms:
K 0.0000 0.0000 0.0000  12 Cl 3.34-3.70
Tl 0.0000 0.0000 0.5000  8 Cl 3.30
Cu 0.5000 0.5000 0.2401  5 Cl 2.39-2.48
Cu 0.5000 0.5000 0.7599  5 Cl 2.39-2.48
Cl 0.0000 0.5000 0.2766  2 Cu 2.39
Cl 0.0000 0.5000 0.7234  2 Cu 2.39
Cl 0.5000 0.0000 0.2766  2 Cu 2.39
Cl 0.5000 0.0000 0.7234  2 Cu 2.39
Cl 0.5000 0.5000 0.0000  2 Cu 2.48



[6]
VASP calculation (PBE) on an optimized crystal structure of SiMoBr2.

Raw formation energy ... 0.471 eV/atom
E ... -4.43 eV/atom

abc: 7.1213 7.1213 7.1213
angles: 154.98 140.63 47.22
Last column: nearest neighbours and their distance in Å.
Fractional coordinates of all 4 atoms:
Si 0.0000 0.0000 0.0000  2 Mo 2.63, 2 Br 2.92
Mo 0.8372 0.3372 0.5000  2 Br 2.57, 2 Si 2.63
Br 0.3726 0.8726 0.5000  4 Mo 2.89, 2 Si 2.92, 2 Br 3.09
Br 0.6800 0.6800 0.0000  2 Mo 2.57



[7]
VASP calculation (PBE) on an optimized crystal structure of Mg4TlSe.

Raw formation energy ... 0.017 eV/atom
E ... -2.02 eV/atom

abc: 5.8724 5.8724 5.8724
angles: 60.00 60.00 60.00
Last column: nearest neighbours and their distance in Å.
Fractional coordinates of all 6 atoms:
Mg 0.1250 0.1250 0.1250  6 Mg 2.94
Mg 0.1250 0.1250 0.6249  6 Mg 2.94
Mg 0.1250 0.6249 0.1250  6 Mg 2.94
Mg 0.6249 0.1250 0.1250  6 Mg 2.94
Tl 0.5000 0.5000 0.5000  12 Mg 3.44, 4 Se 3.60
Se 0.7500 0.7500 0.7500  12 Mg 3.44, 4 Tl 3.60



[8]
VASP calculation (PBE) on an optimized crystal structure of LaPmGeCl.

Raw formation energy ... -1.032 eV/atom
E ... -5.07 eV/atom

abc: 5.9431 5.0655 5.0655
angles: 59.28 90.00 90.00
Last column: nearest neighbours and their distance in Å.
Fractional coordinates of all 4 atoms:
La 0.0000 0.0000 0.0000  3 Cl 2.91-2.92, 2 Ge 2.97
Pm 0.5000 0.6697 0.6697  3 Ge 2.91, 2 Cl 2.97
Ge 0.5000 0.0007 0.0007  3 Pm 2.91, 2 La 2.97
Cl 0.0000 0.6693 0.6693  3 La 2.91-2.92, 2 Pm 2.97



[9]
VASP calculation (PBE) on an optimized crystal structure of IrRh2Br.

Raw formation energy ... 0.524 eV/atom
E ... -5.79 eV/atom

abc: 3.6926 3.6926 7.9935
angles: 107.39 107.39 45.33
Last column: nearest neighbours and their distance in Å.
Fractional coordinates of all 4 atoms:
Ir 0.0000 0.0000 0.0000  6 Rh 2.49-2.61
Rh 0.1996 0.1996 0.7892  3 Ir 2.49-2.61, 2 Br 2.68
Rh 0.8004 0.8004 0.2108  3 Ir 2.49-2.61, 2 Br 2.68
Br 0.5000 0.5000 0.5000  4 Rh 2.68, 2 Br 2.85



[10]
VASP calculation (PBE) on an optimized crystal structure of Li4PPd4.

E ... -4.29 eV/atom
ΔH_f (0 K) ... -533 meV per atom

abc: 5.8006 5.8006 5.8006
angles: 97.24 97.24 138.42
Last column: nearest neighbours and their distance in Å.
Fractional coordinates of all 9 atoms:
Li 0.1652 0.1652 0.3303  4 Li 2.53-2.76, 6 Pd 2.57-2.67, 2 P 2.73
Li 0.1652 0.8348 0.0000  4 Li 2.53-2.76, 6 Pd 2.57-2.67, 2 P 2.73
Li 0.8348 0.1652 0.0000  4 Li 2.53-2.76, 6 Pd 2.57-2.67, 2 P 2.73
Li 0.8348 0.8348 0.6697  4 Li 2.53-2.76, 6 Pd 2.57-2.67, 2 P 2.73
P 0.5000 0.5000 0.0000  4 Pd 2.39
Pd 0.1879 0.5000 0.6879  1 P 2.39, 6 Li 2.57-2.67
Pd 0.5000 0.1879 0.6879  1 P 2.39, 6 Li 2.57-2.67
Pd 0.5000 0.8121 0.3121  1 P 2.39, 6 Li 2.57-2.67
Pd 0.8121 0.5000 0.3121  1 P 2.39, 6 Li 2.57-2.67



[11]
VASP calculation (PBE) on an optimized crystal structure of Li4TlSi2.

Raw formation energy ... -0.158 eV/atom
E ... -3.14 eV/atom

abc: 5.1765 5.1765 6.9129
angles: 97.39 97.39 41.45
Last column: nearest neighbours and their distance in Å.
Fractional coordinates of all 7 atoms:
Li 0.0628 0.0628 0.1851  3 Li 2.68-2.86, 5 Si 2.78-3.00, 2 Tl 2.97
Li 0.2217 0.2217 0.6656  3 Si 2.73-2.74, 4 Li 2.86-3.04, 2 Tl 2.93
Li 0.7783 0.7783 0.3344  3 Si 2.73-2.74, 4 Li 2.86-3.04, 2 Tl 2.93
Li 0.9372 0.9372 0.8149  3 Li 2.68-2.86, 5 Si 2.78-3.00, 2 Tl 2.97
Tl 0.5000 0.5000 0.5000  10 Li 2.93-3.07
Si 0.3225 0.3225 0.0565  2 Si 2.37
Si 0.6775 0.6775 0.9435  2 Si 2.37



[12]
VASP calculation (PBE) on an optimized crystal structure of Mg6TiCu.

E ... -2.59 eV/atom
ΔH_f (0 K) ... 104 meV per atom

abc: 4.8462 6.2416 6.2416
angles: 58.39 90.00 90.00
Last column: nearest neighbours and their distance in Å.
Fractional coordinates of all 8 atoms:
Mg 0.0000 0.0000 0.0000  10 Mg 2.99-3.15, 2 Cu 3.05
Mg 0.0000 0.0138 0.4979  1 Cu 2.90, 8 Mg 2.95-3.15, 2 Ti 3.03
Mg 0.0000 0.4979 0.0138  1 Cu 2.90, 8 Mg 2.95-3.15, 2 Ti 3.03
Mg 0.5000 0.3491 0.8341  8 Mg 2.95-3.17, 2 Ti 2.98-3.26, 2 Cu 3.07
Mg 0.5000 0.8341 0.3491  8 Mg 2.95-3.17, 2 Ti 2.98-3.26, 2 Cu 3.07
Mg 0.5000 0.8388 0.8388  10 Mg 2.99-3.17, 2 Ti 3.05
Ti 0.5000 0.3537 0.3537  2 Cu 2.81, 8 Mg 2.98-3.05
Cu 0.0000 0.4850 0.4850  2 Ti 2.81, 8 Mg 2.90-3.07